# 1
DFT (PBE-GGA) results for an optimized crystal structure of CoAsSN2.

Calculated values
Formation energy without anion corrections = 7.0 eV per formula unit

Cell and atoms, written as CIF:
```
data_CoAsSN2
_cell_length_a 3.557
_cell_length_b 3.557
_cell_length_c 6.068
_cell_angle_alpha 90.00
_cell_angle_beta 90.00
_cell_angle_gamma 90.00
_space_group_name_H-M_alt 'P 4/m m m'
_space_group_IT_number 123
_space_group_name_Hall '-P 4 2'
loop_
_atom_site_label
_atom_site_type_symbol
_atom_site_fract_x
_atom_site_fract_y
_atom_site_fract_z
Co1 Co 0.000 0.000 0.000
As1 As 0.500 0.500 0.500
S1 S 0.500 0.500 0.000
N1 N 0.000 0.500 0.500
```

# 2
DFT (PBE-GGA) results for an optimized crystal structure of CoAsS2N.

Calculated values
Formation energy without anion corrections = 2.5 eV per formula unit

Cell and atoms, written as CIF:
```
data_CoAsS2N
_cell_length_a 4.663
_cell_length_b 4.663
_cell_length_c 3.399
_cell_angle_alpha 90.00
_cell_angle_beta 90.00
_cell_angle_gamma 90.00
_space_group_name_H-M_alt 'P 4/m m m'
_space_group_IT_number 123
_space_group_name_Hall '-P 4 2'
loop_
_atom_site_label
_atom_site_type_symbol
_atom_site_fract_x
_atom_site_fract_y
_atom_site_fract_z
Co1 Co 0.000 0.000 0.000
As1 As 0.500 0.500 0.500
S1 S 0.000 0.500 0.000
N1 N 0.000 0.000 0.500
```

# 3
DFT (PBE-GGA) results for an optimized crystal structure of CoAsSN2.

Calculated values
Formation energy without anion corrections = 5.4 eV per formula unit

Cell and atoms, written as CIF:
```
data_CoAsSN2
_cell_length_a 3.618
_cell_length_b 3.618
_cell_length_c 4.927
_cell_angle_alpha 90.00
_cell_angle_beta 90.00
_cell_angle_gamma 90.00
_space_group_name_H-M_alt 'P 4/m m m'
_space_group_IT_number 123
_space_group_name_Hall '-P 4 2'
loop_
_atom_site_label
_atom_site_type_symbol
_atom_site_fract_x
_atom_site_fract_y
_atom_site_fract_z
Co1 Co 0.000 0.000 0.000
As1 As 0.500 0.500 0.500
S1 S 0.000 0.000 0.500
N1 N 0.000 0.500 0.000
```

# 4
DFT (PBE-GGA) results for an optimized crystal structure of CoAsSeN2.

Calculated values
Formation energy without anion corrections = 5.5 eV per formula unit

Cell and atoms, written as CIF:
```
data_CoAsSeN2
_cell_length_a 3.683
_cell_length_b 3.683
_cell_length_c 5.103
_cell_angle_alpha 90.00
_cell_angle_beta 90.00
_cell_angle_gamma 90.00
_space_group_name_H-M_alt 'P 4/m m m'
_space_group_IT_number 123
_space_group_name_Hall '-P 4 2'
loop_
_atom_site_label
_atom_site_type_symbol
_atom_site_fract_x
_atom_site_fract_y
_atom_site_fract_z
Co1 Co 0.000 0.000 0.000
As1 As 0.500 0.500 0.500
Se1 Se 0.000 0.000 0.500
N1 N 0.000 0.500 0.000
```

# 5
DFT (PBE-GGA) results for an optimized crystal structure of CoAs2SeN.

Calculated values
Formation energy without anion corrections = 7.0 eV per formula unit

Cell and atoms, written as CIF:
```
data_CoAs2SeN
_cell_length_a 4.407
_cell_length_b 4.407
_cell_length_c 4.748
_cell_angle_alpha 90.00
_cell_angle_beta 90.00
_cell_angle_gamma 90.00
_space_group_name_H-M_alt 'P 4/m m m'
_space_group_IT_number 123
_space_group_name_Hall '-P 4 2'
loop_
_atom_site_label
_atom_site_type_symbol
_atom_site_fract_x
_atom_site_fract_y
_atom_site_fract_z
Co1 Co 0.000 0.000 0.000
As1 As 0.000 0.500 0.000
Se1 Se 0.000 0.000 0.500
N1 N 0.500 0.500 0.500
```

# 6
DFT (PBE-GGA) results for an optimized crystal structure of CoAsSeN2.

Calculated values
Formation energy without anion corrections = 6.9 eV per formula unit

Cell and atoms, written as CIF:
```
data_CoAsSeN2
_cell_length_a 3.603
_cell_length_b 3.603
_cell_length_c 6.446
_cell_angle_alpha 90.00
_cell_angle_beta 90.00
_cell_angle_gamma 90.00
_space_group_name_H-M_alt 'P 4/m m m'
_space_group_IT_number 123
_space_group_name_Hall '-P 4 2'
loop_
_atom_site_label
_atom_site_type_symbol
_atom_site_fract_x
_atom_site_fract_y
_atom_site_fract_z
Co1 Co 0.000 0.000 0.000
As1 As 0.500 0.500 0.500
Se1 Se 0.500 0.500 0.000
N1 N 0.000 0.500 0.500
```

# 7
DFT (PBE-GGA) results for an optimized crystal structure of CoAs2SeN.

Calculated values
Formation energy without anion corrections = 5.0 eV per formula unit

Cell and atoms, written as CIF:
```
data_CoAs2SeN
_cell_length_a 4.295
_cell_length_b 4.295
_cell_length_c 4.208
_cell_angle_alpha 90.00
_cell_angle_beta 90.00
_cell_angle_gamma 90.00
_space_group_name_H-M_alt 'P 4/m m m'
_space_group_IT_number 123
_space_group_name_Hall '-P 4 2'
loop_
_atom_site_label
_atom_site_type_symbol
_atom_site_fract_x
_atom_site_fract_y
_atom_site_fract_z
Co1 Co 0.000 0.000 0.000
As1 As 0.000 0.500 0.500
Se1 Se 0.500 0.500 0.000
N1 N 0.500 0.500 0.500
```

# 8
DFT (PBE-GGA) results for an optimized crystal structure of Sr2CoAsN.

Calculated values
Formation energy without anion corrections = -3.3 eV per formula unit

Cell and atoms, written as CIF:
```
data_Sr2CoAsN
_cell_length_a 5.531
_cell_length_b 5.531
_cell_length_c 3.506
_cell_angle_alpha 90.00
_cell_angle_beta 90.00
_cell_angle_gamma 90.00
_space_group_name_H-M_alt 'P 4/m m m'
_space_group_IT_number 123
_space_group_name_Hall '-P 4 2'
loop_
_atom_site_label
_atom_site_type_symbol
_atom_site_fract_x
_atom_site_fract_y
_atom_site_fract_z
Sr1 Sr 0.000 0.500 0.000
Co1 Co 0.000 0.000 0.500
As1 As 0.500 0.500 0.500
N1 N 0.000 0.000 0.000
```

- What is the formation energy without anion corrections in the first record?
  7.0 eV per formula unit

- formation energy without anion corrections of number 3 (CoAsSN2)?
  5.4 eV per formula unit